Crystalline Tl7Cd2In2 at its relaxed geometry. Source: the Alexandria database, functional GGA-PBE.

```
11
Lattice="3.207 -4.771 0.000 3.207 4.771 0.000 -1.567 0.000 10.636" Properties=species:S:1:pos:R:3 pbc="T T T"
Tl 0.000 0.000 0.000
Tl 0.945 1.738 9.028
Tl 1.168 0.000 3.126
Tl 3.903 1.738 1.608
Tl 0.945 -1.738 9.028
Tl 3.679 0.000 7.510
Tl 3.903 -1.738 1.608
Cd 0.360 0.000 6.448
Cd 4.488 0.000 4.187
In 2.424 2.158 5.318
In 2.424 -2.158 5.318
```

Calculated volume ... 326 Å³/f.u.
ΔE to the lowest computed polymorph ... 0 meV per atom
DFT formation energy ... 0.04 eV per atom
Density of states at the Fermi level ... 4.34 states/eV/f.u.

---

Crystalline Tl2Cd2In at its relaxed geometry. Source: the Alexandria database, functional GGA-PBE.

```
5
Lattice="3.032 -1.749 0.000 3.032 1.749 0.000 -1.384 0.000 12.921" Properties=species:S:1:pos:R:3 pbc="T T T"
Tl 0.204 0.000 5.010
Tl 4.477 0.000 7.910
Cd 2.109 0.000 2.422
Cd 2.572 0.000 10.498
In 0.000 0.000 0.000
```

Calculated volume ... 137 Å³/f.u.
ΔE to the lowest computed polymorph ... 0 meV per atom
DFT formation energy ... 0.04 eV per atom
Density of states at the Fermi level ... 1.62 states/eV/f.u.

---

Crystalline TlCd2In at its relaxed geometry. Source: the Alexandria database, functional GGA-PBE.

```
4
Lattice="-2.371 2.371 4.673 2.371 -2.371 4.673 2.371 2.371 -4.673" Properties=species:S:1:pos:R:3 pbc="T T T"
Tl 0.000 0.000 0.000
Cd 2.371 0.000 2.336
Cd 0.000 2.371 2.336
In 0.000 0.000 4.673
```

Calculated volume ... 105 Å³/f.u.
ΔE to the lowest computed polymorph ... 28 meV per atom
DFT formation energy ... 0.05 eV per atom
Density of states at the Fermi level ... 1.76 states/eV/f.u.